No. 1
A plane-wave DFT calculation with PBE was carried out for a relaxed ScCu2Ag crystal.

- Energy of formation: 0.365 eV/atom
- Total magnetization: 0.00 μB/cell
- Excess energy over the best structure of this formula in the dataset: 0.5180 eV per atom

Unit cell a=5.971 b=5.971 c=5.971 alpha=55.33 beta=152.99 gamma=132.68
Element x y z (fractional)
Sc 0.000 0.000 0.000
Ag 0.000 0.500 0.500
Cu 0.000 0.743 0.743
Cu 0.000 0.257 0.257

No. 2
A plane-wave DFT calculation with PBE was carried out for a relaxed Sc11Cu4Ag9 crystal.

- Energy of formation: -0.251 eV/atom
- Total magnetization: 0.00 μB/cell

Unit cell a=3.353 b=12.246 c=12.246 alpha=113.35 beta=90.00 gamma=90.00
Element x y z (fractional)
Sc 0.000 0.414 0.074
Sc 0.000 0.710 0.710
Sc 0.000 0.586 0.926
Sc 0.000 0.638 0.362
Sc 0.000 0.926 0.586
Sc 0.000 0.836 0.164
Sc 0.000 0.000 0.000
Sc 0.000 0.074 0.414
Sc 0.000 0.164 0.836
Sc 0.000 0.362 0.638
Sc 0.000 0.290 0.290
Ag 0.500 0.150 0.629
Ag 0.500 0.850 0.371
Ag 0.500 0.500 0.500
Ag 0.500 0.937 0.787
Ag 0.500 0.629 0.150
Ag 0.500 0.213 0.063
Ag 0.500 0.063 0.213
Ag 0.500 0.371 0.850
Ag 0.500 0.787 0.937
Cu 0.500 0.257 0.451
Cu 0.500 0.451 0.257
Cu 0.500 0.549 0.743
Cu 0.500 0.743 0.549

No. 3
A plane-wave DFT calculation with PBE was carried out for a relaxed Sc3Cu2Ag3 crystal.

- Energy of formation: -0.239 eV/atom
- Total magnetization: 0.00 μB/cell

Unit cell a=3.306 b=7.172 c=7.172 alpha=120.00 beta=90.00 gamma=90.00
Element x y z (fractional)
Sc 0.500 0.411 0.411
Sc 0.500 0.589 0.000
Sc 0.500 0.000 0.589
Cu 0.000 0.667 0.333
Cu 0.000 0.333 0.667
Ag 0.000 0.764 0.764
Ag 0.000 0.000 0.236
Ag 0.000 0.236 0.000

No. 4
A plane-wave DFT calculation with PBE was carried out for a relaxed ScCuAg crystal.

- Energy of formation: -0.064 eV/atom
- Total magnetization: 1.06 μB/cell
- Excess energy over the best structure of this formula in the dataset: 0.1908 eV per atom

Unit cell a=3.384 b=3.339 c=17.825 alpha=112.01 beta=139.42 gamma=89.94
Element x y z (fractional)
Sc 0.800 0.025 0.387
Sc 0.200 0.975 0.613
Ag 0.416 0.583 0.917
Ag 0.584 0.417 0.083
Cu 0.318 0.783 0.767
Cu 0.682 0.217 0.233

No. 5
A plane-wave DFT calculation with PBE was carried out for a relaxed ScCu2Ag crystal.

- Energy of formation: -0.097 eV/atom
- Total magnetization: 0.00 μB/cell
- Excess energy over the best structure of this formula in the dataset: 0.0553 eV per atom

Unit cell a=4.492 b=4.492 c=4.492 alpha=60.00 beta=60.00 gamma=60.00
Element x y z (fractional)
Ag 0.500 0.500 0.500
Cu 0.000 0.000 0.000
Cu 0.750 0.750 0.750
Sc 0.250 0.250 0.250

No. 6
A plane-wave DFT calculation with PBE was carried out for a relaxed ScCuAg crystal.

- Energy of formation: 0.279 eV/atom
- Total magnetization: 0.00 μB/cell
- Excess energy over the best structure of this formula in the dataset: 0.5346 eV per atom

Unit cell a=4.486 b=4.486 c=4.486 alpha=60.00 beta=60.00 gamma=60.00
Element x y z (fractional)
Ag 0.000 0.000 0.000
Sc 0.250 0.250 0.250
Cu 0.500 0.500 0.500